Record 1
Sm6Te3AsRh2, optimized geometry, DFT GGA-PBE; formation energy from raw total energies = -1.164 eV per atom; electronic total energy = -71.07 eV for the cell shown; space-group type = C2/m
1.0
7.350 -0.003 -0.008
-3.676 6.365 -0.008
-1.234 -2.136 7.325
Sm Te As Rh
6 3 1 2
Direct
0.413 0.070 0.215 Sm
0.272 0.272 0.787 Sm
0.587 0.930 0.785 Sm
0.070 0.413 0.215 Sm
0.930 0.587 0.785 Sm
0.728 0.728 0.213 Sm
0.837 0.163 0.500 Te
0.163 0.837 0.500 Te
0.500 0.500 0.500 Te
0.000 0.000 0.000 As
0.333 0.667 0.000 Rh
0.667 0.333 0.000 Rh


Record 2
Sm4Te2AsRh, optimized geometry, DFT GGA-PBE; formation energy from raw total energies = -1.245 eV per atom; electronic total energy = -47.12 eV for the cell shown; space-group type = P2/m
1.0
-4.052 0.730 -1.014
-2.148 -2.788 6.578
1.152 7.517 0.812
Te Sm As Rh
2 4 1 1
Direct
0.000 0.500 0.500 Te
0.500 0.000 0.500 Te
0.500 0.753 0.783 Sm
0.500 0.247 0.217 Sm
0.000 0.270 0.788 Sm
0.000 0.730 0.212 Sm
0.000 0.000 0.000 As
0.500 0.500 0.000 Rh


Record 3
Sm3TeAs2Rh9, optimized geometry, DFT GGA-PBE; formation energy from raw total energies = -0.447 eV per atom; electronic total energy = -99.47 eV for the cell shown; space-group type = P-3m1
1.0
6.264 0.000 0.000
-3.132 5.424 0.000
0.000 0.000 9.330
As Sm Rh Te
2 3 9 1
Direct
0.333 0.667 0.169 As
0.667 0.333 0.831 As
0.000 0.000 0.000 Sm
0.333 0.667 0.736 Sm
0.667 0.333 0.264 Sm
0.500 0.000 0.000 Rh
0.144 0.856 0.277 Rh
0.000 0.500 0.000 Rh
0.856 0.712 0.723 Rh
0.712 0.856 0.277 Rh
0.500 0.500 0.000 Rh
0.856 0.144 0.723 Rh
0.144 0.288 0.277 Rh
0.288 0.144 0.723 Rh
0.000 0.000 0.500 Te


Record 4
SmTmAs2Rh5, optimized geometry, DFT GGA-PBE; electronic total energy = -62.00 eV for the cell shown; space-group type = P4/mmm
1.0
4.255 0.000 0.000
0.000 4.255 0.000
0.000 0.000 8.771
Rh As Sm Tm
5 2 1 1
Direct
0.000 0.500 0.263 Rh
0.000 0.500 0.737 Rh
0.500 0.000 0.737 Rh
0.500 0.000 0.263 Rh
0.500 0.500 0.500 Rh
0.500 0.500 0.855 As
0.500 0.500 0.145 As
0.000 0.000 0.500 Sm
0.000 0.000 0.000 Tm